No. 1
# K5W3

A relaxed K5W3 crystal (PBE-GGA, Alexandria).

Values from the calculation:
- Space-group type: Cmmm, No. 65

Lattice parameters (Å, degrees): 8.917 8.917 4.417 90.00 90.00 92.87
Last column: magnetic moment on the atom in μB.
Fractional coordinates of all 8 atoms:
K 0.000 0.000 0.000  0.00
W 0.400 0.400 0.500  -0.05
K 0.000 0.500 0.000  0.00
W 0.600 0.600 0.500  -0.05
W 0.500 0.500 0.000  0.25
K 0.500 0.000 0.000  0.00
K 0.257 0.743 0.500  0.00
K 0.743 0.257 0.500  0.00

=====

No. 2
# AsPb2Au

A relaxed AsPb2Au crystal (PBE-GGA, Alexandria).

Values from the calculation:
- Space-group type: Pm, No. 6

Lattice parameters (Å, degrees): 4.254 4.307 6.044 68.97 90.00 90.00
Fractional coordinates of all 4 atoms:
As 0.000 0.701 0.464
Pb 0.000 0.979 0.919
Pb 0.500 0.274 0.327
Au 0.500 0.546 0.790

=====

Result set for E_form: 1.1916, -0.0472 eV/atom, one per record in the order listed.
Result set for raw total energy: -34.81, -15.53 eV for the cell shown, one per record in the order listed.
Result set for D(E_F): 6.9, 1.1 states/eV per cell, one per record in the order listed.